Entry a
DFT (PBE) results for Sr2ReO6 after structural relaxation.

The structure in POSCAR format:
```
Sr2ReO6
1.0
5.835 0.000 0.000
0.000 6.420 0.000
-4.798 0.000 7.971
Sr Re O
4 2 12
Direct
0.197 0.087 0.241
0.197 0.413 0.741
0.803 0.587 0.259
0.803 0.913 0.759
0.500 0.000 0.000
0.500 0.500 0.500
0.188 0.147 0.954
0.188 0.353 0.454
0.292 0.748 0.416
0.292 0.752 0.916
0.431 0.067 0.784
0.431 0.433 0.284
0.569 0.567 0.716
0.569 0.933 0.216
0.708 0.248 0.084
0.708 0.252 0.584
0.812 0.647 0.546
0.812 0.853 0.046
```

Results
volume	298.57	Å³/cell
symmetry	No. 14
Fermi-level density of states	3.2	states/eV/f.u.

Entry b
DFT (PBE) results for Sr2ReO6 after structural relaxation.

The structure in POSCAR format:
```
Sr2ReO6
1.0
5.311 0.000 0.000
0.000 5.311 0.000
0.000 0.000 10.550
Sr Re O
4 2 12
Direct
0.000 0.000 0.168
0.000 0.000 0.832
0.500 0.500 0.332
0.500 0.500 0.668
0.000 0.000 0.500
0.500 0.500 0.000
0.175 0.175 0.371
0.175 0.175 0.629
0.247 0.247 0.000
0.253 0.747 0.500
0.325 0.675 0.129
0.325 0.675 0.871
0.675 0.325 0.129
0.675 0.325 0.871
0.747 0.253 0.500
0.753 0.753 0.000
0.825 0.825 0.371
0.825 0.825 0.629
```

Results
volume	297.58	Å³/cell
symmetry	No. 136
Fermi-level density of states	4.7	states/eV/f.u.

Stability ranking, top and bottom: entry a is the most stable and entry b is the least stable.

Entry a
DFT (PBE) results for Sr2TbReO6 after structural relaxation.

The structure in POSCAR format:
```
Sr2TbReO6
1.0
5.839 0.000 0.000
0.000 5.916 0.000
-5.796 0.000 8.291
Sr Tb Re O
4 2 2 12
Direct
0.241 0.037 0.250
0.241 0.463 0.750
0.759 0.537 0.250
0.759 0.963 0.750
0.500 0.000 0.000
0.500 0.500 0.500
0.000 0.000 0.500
0.000 0.500 0.000
0.153 0.228 0.958
0.153 0.272 0.458
0.232 0.698 0.961
0.232 0.802 0.461
0.309 0.021 0.733
0.309 0.479 0.233
0.691 0.521 0.767
0.691 0.979 0.267
0.768 0.198 0.539
0.768 0.302 0.039
0.847 0.728 0.542
0.847 0.772 0.042
```

Results
volume	286.43	Å³/cell
symmetry	No. 14
Fermi-level density of states	4.7	states/eV/f.u.

Entry b
DFT (PBE) results for Sr2TbReO6 after structural relaxation.

The structure in POSCAR format:
```
Sr2TbReO6
1.0
0.000 4.186 4.186
4.186 0.000 4.186
4.186 4.186 0.000
Sr Tb Re O
2 1 1 6
Direct
0.250 0.250 0.250
0.750 0.750 0.750
0.000 0.000 0.000
0.500 0.500 0.500
0.265 0.265 0.735
0.265 0.735 0.265
0.265 0.735 0.735
0.735 0.265 0.265
0.735 0.265 0.735
0.735 0.735 0.265
```

Results
volume	146.68	Å³/cell
symmetry	No. 225
Fermi-level density of states	4.2	states/eV/f.u.

Stability ranking, top and bottom: entry a is the most stable and entry b is the least stable.

Entry a
DFT (PBE) results for Sr2YReO6 after structural relaxation.

The structure in POSCAR format:
```
Sr2YReO6
1.0
5.832 0.000 0.000
0.000 5.904 0.000
-5.791 0.000 8.278
Sr Y Re O
4 2 2 12
Direct
0.242 0.036 0.250
0.242 0.464 0.750
0.758 0.536 0.250
0.758 0.964 0.750
0.500 0.000 0.000
0.500 0.500 0.500
0.000 0.000 0.500
0.000 0.500 0.000
0.155 0.228 0.959
0.155 0.272 0.459
0.233 0.699 0.962
0.233 0.801 0.462
0.308 0.020 0.734
0.308 0.480 0.234
0.692 0.520 0.766
0.692 0.980 0.266
0.767 0.199 0.538
0.767 0.301 0.038
0.845 0.728 0.541
0.845 0.772 0.041
```

Results
volume	285.05	Å³/cell
symmetry	No. 14
Fermi-level density of states	4.6	states/eV/f.u.

Entry b
DFT (PBE) results for Sr2YReO6 after structural relaxation.

The structure in POSCAR format:
```
Sr2YReO6
1.0
0.000 4.177 4.177
4.177 0.000 4.177
4.177 4.177 0.000
Sr Y Re O
2 1 1 6
Direct
0.250 0.250 0.250
0.750 0.750 0.750
0.000 0.000 0.000
0.500 0.500 0.500
0.264 0.264 0.736
0.264 0.736 0.264
0.264 0.736 0.736
0.736 0.264 0.264
0.736 0.264 0.736
0.736 0.736 0.264
```

Results
volume	145.75	Å³/cell
symmetry	No. 225
Fermi-level density of states	4.0	states/eV/f.u.

Stability ranking, top and bottom: entry a is the most stable and entry b is the least stable.

Entry a
DFT (PBE) results for Ta3ReO after structural relaxation.

The structure in POSCAR format:
```
Ta3ReO
1.0
4.229 0.000 0.000
0.000 4.229 0.000
0.000 0.000 4.229
Ta Re O
3 1 1
Direct
0.000 0.000 0.500
0.000 0.500 0.000
0.500 0.000 0.000
0.500 0.500 0.500
0.000 0.000 0.000
```

Results
volume	75.62	Å³/cell
symmetry	No. 221
Fermi-level density of states	6.1	states/eV/f.u.

Entry b
DFT (PBE) results for Ta3ReO after structural relaxation.

The structure in POSCAR format:
```
Ta3ReO
1.0
4.854 0.000 0.000
0.000 4.854 0.000
0.000 0.000 4.854
Ta Re O
3 1 1
Direct
0.000 0.000 0.500
0.000 0.500 0.000
0.500 0.000 0.000
0.000 0.000 0.000
0.500 0.500 0.500
```

Results
volume	114.39	Å³/cell
symmetry	No. 221
Fermi-level density of states	2.6	states/eV/f.u.

Stability ranking, top and bottom: entry a is the most stable and entry b is the least stable.